w) The following is a DFT calculation (PBE) of a relaxed structure of SrAgTeN2.

abc: 4.498 4.498 5.627
angles: 90.00 90.00 90.00
Positions (direct):
Sr1 0.500 0.500 0.500
N1 0.000 0.500 0.000
N2 0.500 0.000 0.000
Ag1 0.000 0.000 0.000
Te1 0.000 0.000 0.500



x) The following is a DFT calculation (PBE) of a relaxed structure of SrAgTeN2.

abc: 4.271 6.572 4.271
angles: 90.00 90.00 90.00
Positions (direct):
Ag1 0.500 0.500 0.500
Sr1 0.000 0.500 0.000
N1 0.000 0.000 0.500
N2 0.500 0.000 0.000
Te1 0.000 0.000 0.000



Verdict on stability: w) comes out on top.



w) The following is a DFT calculation (PBE) of a relaxed structure of SrY2AgN.

abc: 4.742 4.742 5.439
angles: 90.00 90.00 90.00
Positions (direct):
Ag1 0.500 0.500 0.500
Y1 0.000 0.500 0.000
Y2 0.500 0.000 0.000
N1 0.000 0.000 0.000
Sr1 0.000 0.000 0.500



x) The following is a DFT calculation (PBE) of a relaxed structure of SrY2AgN.

abc: 5.928 4.241 5.928
angles: 90.00 90.00 90.00
Positions (direct):
Y1 0.500 0.000 0.000
Y2 0.000 0.000 0.500
N1 0.000 0.500 0.000
Sr1 0.000 0.000 0.000
Ag1 0.500 0.500 0.500



Verdict on stability: w) comes out on top.



w) The following is a DFT calculation (PBE) of a relaxed structure of Sr2ZnAgN.

abc: 6.098 3.671 6.098
angles: 90.00 90.00 90.00
Positions (direct):
Sr1 0.000 0.000 0.500
Sr2 0.500 0.000 0.000
Zn1 0.000 0.000 0.000
N1 0.000 0.500 0.000
Ag1 0.500 0.500 0.500



x) The following is a DFT calculation (PBE) of a relaxed structure of Sr2ZnAgN.

abc: 5.405 5.405 4.019
angles: 90.00 90.00 90.00
Positions (direct):
Ag1 0.500 0.500 0.500
Sr1 0.500 0.000 0.000
Sr2 0.000 0.500 0.000
N1 0.000 0.000 0.000
Zn1 0.000 0.000 0.500



y) The following is a DFT calculation (PBE) of a relaxed structure of Sr2ZnAgN.

abc: 3.950 7.486 8.857
angles: 109.42 90.00 90.00
Positions (direct):
Sr1 0.750 0.816 0.627
Sr2 0.750 0.811 0.035
Sr3 0.250 0.189 0.965
Sr4 0.250 0.184 0.373
Ag1 0.750 0.308 0.699
Ag2 0.250 0.692 0.301
Zn1 0.750 0.450 0.253
Zn2 0.250 0.550 0.747
N1 0.750 0.173 0.166
N2 0.250 0.827 0.834



Verdict on stability: y) comes out on top.



w) The following is a DFT calculation (PBE) of a relaxed structure of TaAgN2.

abc: 6.618 6.618 6.618
angles: 27.63 27.63 27.63
Positions (direct):
Ta1 0.500 0.500 0.500
N1 0.111 0.111 0.111
N2 0.889 0.889 0.889
Ag1 0.000 0.000 0.000



x) The following is a DFT calculation (PBE) of a relaxed structure of TaAgN2.

abc: 3.954 3.954 3.954
angles: 60.00 60.00 60.00
Positions (direct):
N1 0.750 0.750 0.750
N2 0.250 0.250 0.250
Ag1 0.000 0.000 0.000
Ta1 0.500 0.500 0.500



y) The following is a DFT calculation (PBE) of a relaxed structure of TaAgN2.

abc: 5.104 5.104 5.915
angles: 64.44 64.44 90.00
Positions (direct):
Ta1 0.750 0.250 0.500
Ta2 0.000 0.000 0.000
N1 0.697 0.125 0.250
N2 0.375 0.303 0.750
N3 0.875 0.947 0.750
N4 0.053 0.625 0.250
Ag1 0.500 0.500 0.000
Ag2 0.250 0.750 0.500



Verdict on stability: w) comes out on top.



w) The following is a DFT calculation (PBE) of a relaxed structure of TaAg2N2.

abc: 5.840 5.840 4.462
angles: 90.00 90.00 90.00
Positions (direct):
N1 0.251 0.751 0.000
N2 0.749 0.249 0.000
N3 0.751 0.749 0.000
N4 0.249 0.251 0.000
Ag1 0.749 0.249 0.500
Ag2 0.251 0.751 0.500
Ag3 0.751 0.749 0.500
Ag4 0.249 0.251 0.500
Ta1 0.500 0.500 0.000
Ta2 0.000 0.000 0.000



x) The following is a DFT calculation (PBE) of a relaxed structure of TaAg2N2.

abc: 3.471 3.471 6.390
angles: 74.24 74.24 90.00
Positions (direct):
N1 0.442 0.442 0.115
N2 0.558 0.558 0.885
Ag1 0.750 0.250 0.500
Ag2 0.250 0.750 0.500
Ta1 0.000 0.000 0.000



Verdict on stability: w) comes out on top.



w) The following is a DFT calculation (PBE) of a relaxed structure of AgTeN.

abc: 3.151 5.494 14.108
angles: 34.83 90.09 90.11
Positions (direct):
Te1 0.524 0.030 0.952
Te2 0.023 0.483 0.590
Ag1 0.023 0.963 0.252
Ag2 0.521 0.215 0.495
N1 0.023 0.673 0.022
N2 0.524 0.487 0.703



x) The following is a DFT calculation (PBE) of a relaxed structure of AgTeN.

abc: 3.122 5.887 7.876
angles: 55.99 78.57 74.62
Positions (direct):
Te1 0.292 0.517 0.900
Te2 0.927 0.853 0.292
N1 0.339 0.865 0.458
N2 0.770 0.329 0.132
Ag1 0.141 0.285 0.433
Ag2 0.555 0.091 0.799



Verdict on stability: w) comes out on top.